(1)
Below is Ce2Re2Si2B after structural relaxation, with properties calculated at the PBE level.

Summary:
energy relative to the elements, uncorrected	-0.5280	eV/atom
M_tot	1.36	μB/cell
uncorrected energy	-8.2834	eV per atom
ρ	9416	kg/m³

Cell: 10.883 4.156 6.991 Å, 90.00 126.62 90.00°
Space group C2/m (No. 12)
Asymmetric unit:
Ce 0.077 0.000 0.306 [4 per cell]
Re 0.218 0.500 0.091 [4 per cell]
Si 0.138 0.500 0.677 [4 per cell]
B 0.000 0.500 0.000 [2 per cell]

(2)
Below is Ce2BRh5 after structural relaxation, with properties calculated at the PBE level.

Summary:
M_tot	0.00	μB/cell
uncorrected energy	-7.6443	eV per atom
ρ	9780	kg/m³

Cell: 5.753 5.753 8.265 Å, 90.00 90.00 90.00°
Space group I4mm (No. 107)
Asymmetric unit:
Ce 0.000 0.500 0.000 [4 per cell]
B 0.000 0.000 0.267 [2 per cell]
Rh 0.000 0.000 0.999 [2 per cell]
Rh 0.244 0.244 0.750 [8 per cell]

(3)
Below is Ce4BRh12 after structural relaxation, with properties calculated at the PBE level.

Summary:
M_tot	0.00	μB/cell
uncorrected energy	-7.6963	eV per atom
ρ	10869	kg/m³

Cell: 8.202 8.202 8.202 Å, 90.00 90.00 90.00°
Space group Im-3m (No. 229)
Asymmetric unit:
Ce 0.250 0.250 0.250 [8 per cell]
B 0.000 0.000 0.000 [2 per cell]
Rh 0.000 0.000 0.259 [12 per cell]
Rh 0.000 0.250 0.500 [12 per cell]